This record from Alexandria via LeMat-Bulk describes an optimized crystal structure of In2GaPb2. The functional is GGA-PBE.

a b c (Å): 5.9625 6.1874 8.6030
angles (deg): 111.08 110.28 90.00
With the nearest neighbours (Å) after each atom.
Fractional coordinates of all 10 atoms:
Pb1 0.8085 0.1453 0.6170  5 In 3.30-3.58, 2 Ga 3.37, 6 Pb 3.55-3.62
Pb2 0.3085 0.4717 0.6170  5 In 3.30-3.58, 2 Ga 3.37, 6 Pb 3.55-3.62
Pb3 0.6915 0.5283 0.3830  5 In 3.30-3.58, 2 Ga 3.37, 6 Pb 3.55-3.62
Pb4 0.1915 0.8547 0.3830  5 In 3.30-3.58, 2 Ga 3.37, 6 Pb 3.55-3.62
In1 0.9128 0.7711 0.8255  2 Ga 2.97, 1 In 3.14, 1 Pb 3.30
In2 0.4128 0.0544 0.8255  2 Ga 2.97, 1 In 3.14, 1 Pb 3.30
In3 0.0872 0.2289 0.1745  2 Ga 2.97, 1 In 3.14, 1 Pb 3.30
In4 0.5872 0.9456 0.1745  2 Ga 2.97, 1 In 3.14, 1 Pb 3.30
Ga1 0.2500 0.5000 0.0000  4 In 2.97, 2 Ga 2.98
Ga2 0.7500 0.5000 0.0000  4 In 2.97, 2 Ga 2.98

Properties
ΔE to the lowest computed polymorph: 0.000 eV/atom
formation energy from the elements: 0.04 eV/atom
magnetization: 0.000 μB per cell